[1]
4
Lattice="-0.968 -1.747 2.017 3.848 -0.864 1.099 -0.106 5.294 4.535" Properties=species:S:1:pos:R:3 comment="PBEsol SrAg2W, relaxed" ef_ev_per_atom=0.655 mass_density_g_cm3=10.0 pbc="T T T"
Ag -0.032 1.609 1.378
Sr 1.440 -1.305 1.558
W 1.387 1.342 3.825
Ag -0.074 3.685 3.157

[2]
4
Lattice="2.820 0.000 -0.066 0.000 4.810 0.000 -1.263 0.000 5.862" Properties=species:S:1:pos:R:3 comment="PBEsol SrAg2W, relaxed" ef_ev_per_atom=0.714 mass_density_g_cm3=10.2 pbc="T T T"
Ag 2.324 2.405 1.360
W -0.406 2.405 4.798
Ag 1.027 0.000 5.613
Sr 0.947 0.000 2.719